(1)
{"formula": "Tb3Ce2Er6Th", "functional": "GGA-PBE", "state": "optimized geometry", "lattice": [[3.050, -5.283, 0.000], [3.050, 5.283, 0.000], [-2.035, 0.000, 11.444]], "species": ["Tb", "Tb", "Tb", "Ce", "Ce", "Er", "Er", "Er", "Er", "Er", "Er", "Th"], "frac_coords": [[0.000, 0.000, 0.000], [0.333, 0.667, 0.000], [0.667, 0.333, 0.000], [0.167, 0.833, 0.500], [0.833, 0.167, 0.500], [0.085, 0.418, 0.253], [0.250, 0.250, 0.747], [0.418, 0.085, 0.253], [0.582, 0.915, 0.747], [0.750, 0.750, 0.253], [0.915, 0.582, 0.747], [0.500, 0.500, 0.500]], "vol_a3_per_cell": 369, "magmom_total_mub_per_cell": 1.194, "space_group": "C2/m", "formation_energy_ev_per_atom": 0.04}

=====

(2)
{"formula": "LiZnTc3", "functional": "GGA-PBE", "state": "optimized geometry", "lattice": [[4.546, 0.000, 0.000], [0.000, 4.546, 0.000], [0.000, 0.000, 4.546]], "species": ["Li", "Zn", "Tc", "Tc", "Tc"], "frac_coords": [[0.000, 0.000, 0.000], [0.500, 0.500, 0.500], [0.000, 0.500, 0.500], [0.500, 0.000, 0.500], [0.500, 0.500, 0.000]], "vol_a3_per_cell": 94, "polymorph_energy_ev_per_atom": 0.551, "magmom_total_mub_per_cell": 0.000, "space_group": "Pm-3m", "formation_energy_ev_per_atom": 1.75}

=====

(3)
{"formula": "Pr6Zn2Ni", "functional": "GGA-PBE", "state": "optimized geometry", "lattice": [[6.278, 0.000, 0.000], [0.000, 8.190, 0.000], [-6.110, 0.000, 10.346]], "species": ["Pr", "Pr", "Pr", "Pr", "Pr", "Pr", "Pr", "Pr", "Pr", "Pr", "Pr", "Pr", "Zn", "Zn", "Zn", "Zn", "Ni", "Ni"], "frac_coords": [[0.090, 0.192, 0.450], [0.090, 0.308, 0.950], [0.302, 0.660, 0.447], [0.302, 0.840, 0.947], [0.371, 0.033, 0.249], [0.371, 0.467, 0.749], [0.629, 0.533, 0.251], [0.629, 0.967, 0.751], [0.698, 0.160, 0.053], [0.698, 0.340, 0.553], [0.910, 0.692, 0.050], [0.910, 0.808, 0.550], [0.149, 0.115, 0.736], [0.149, 0.385, 0.236], [0.851, 0.615, 0.764], [0.851, 0.885, 0.264], [0.500, 0.000, 0.500], [0.500, 0.500, 0.000]], "vol_a3_per_cell": 532, "magmom_total_mub_per_cell": 0.000, "space_group": "P2_1/c", "formation_energy_ev_per_atom": -0.10}

=====

(4)
{"formula": "AcYIn2Se4", "functional": "GGA-PBE", "state": "optimized geometry", "lattice": [[7.555, 0.000, 0.000], [0.000, 4.352, 0.000], [-2.498, 0.000, 7.703]], "species": ["Ac", "Y", "In", "In", "Se", "Se", "Se", "Se"], "frac_coords": [[0.000, 0.000, 0.000], [0.500, 0.500, 0.000], [0.000, 0.500, 0.500], [0.500, 0.000, 0.500], [0.258, 0.500, 0.218], [0.280, 0.000, 0.789], [0.720, 0.000, 0.211], [0.742, 0.500, 0.782]], "vol_a3_per_cell": 253, "magmom_total_mub_per_cell": 0.000, "space_group": "P2/m", "formation_energy_uncorrected_ev_per_atom": -1.307}

=====

(5)
{"formula": "LaCd3Fe", "functional": "GGA-PBE", "state": "optimized geometry", "lattice": [[6.056, 0.000, 0.000], [0.000, 6.056, 0.000], [0.000, 0.000, 6.056]], "species": ["La", "Cd", "Cd", "Cd", "Fe"], "frac_coords": [[0.000, 0.000, 0.000], [0.000, 0.000, 0.500], [0.000, 0.500, 0.000], [0.500, 0.000, 0.000], [0.500, 0.500, 0.500]], "vol_a3_per_cell": 222, "polymorph_energy_ev_per_atom": 1.279, "magmom_total_mub_per_cell": 1.951, "space_group": "Pm-3m", "formation_energy_ev_per_atom": 1.39}

=====

(6)
{"formula": "ZrTlFe2", "functional": "GGA-PBE", "state": "optimized geometry", "lattice": [[3.374, 0.000, 0.000], [0.000, 3.374, 0.000], [0.000, 0.000, 6.199]], "species": ["Zr", "Tl", "Fe", "Fe"], "frac_coords": [[0.000, 0.000, 0.000], [0.000, 0.000, 0.500], [0.500, 0.500, 0.213], [0.500, 0.500, 0.787]], "vol_a3_per_cell": 71, "polymorph_energy_ev_per_atom": 0.061, "magmom_total_mub_per_cell": 3.906, "space_group": "P4/mmm", "formation_energy_ev_per_atom": 0.20}